Compound: Mg8Cd2Bi
Source: Alexandria
Functional: PBE-GGA
Structure: optimized geometry

abc: 4.8891 7.2720 8.5394
angles: 115.15 107.15 90.08
Last column: nearest neighbours and their distance in Å.
Sites, in units of the cell vectors:
1 Mg 0.6362 0.2135 0.9093  2 Cd 2.89, 4 Mg 3.17-3.21, 2 Bi 3.23-3.24
2 Mg 0.9726 0.0363 0.5818  3 Cd 3.07-3.16, 8 Mg 3.11-3.44, 1 Bi 3.13
3 Mg 0.2979 0.3638 0.2366  3 Cd 3.07-3.16, 7 Mg 3.12-3.42, 1 Bi 3.13
4 Mg 0.7744 0.0081 0.1806  1 Cd 3.04, 5 Mg 3.06-3.19, 2 Bi 3.16-3.18
5 Mg 0.3408 0.8587 0.3175  3 Cd 2.92-2.99, 6 Mg 3.06-3.19
6 Mg 0.9319 0.4497 0.5004  3 Cd 2.92-2.99, 6 Mg 3.07-3.19
7 Mg 0.1362 0.4993 0.9092  1 Bi 3.08, 6 Mg 3.19-3.23, 4 Cd 3.34-3.39
8 Mg 0.5009 0.7363 0.6374  1 Cd 3.04, 5 Mg 3.07-3.19, 2 Bi 3.16-3.18
9 Cd 0.7906 0.6132 0.2231  8 Mg 2.89-3.16
10 Cd 0.4809 0.2990 0.5951  8 Mg 2.89-3.16
11 Bi 0.1375 0.9222 0.9090  9 Mg 3.08-3.24

Computed properties:
Total magnetic moment in μB/cell: 0.0
Energy relative to the elements in eV/f.u.: -0.54
Fermi-level density of states in states/eV/atom: 0.352
ρ in g/cm³: 4.0